Here is an optimized crystal structure of AlCoW2O8 from Alexandria via LeMat-Bulk. Energies are from GGA+U.

a b c (Å): 5.087 5.606 5.680
angles (deg): 108.68 91.02 115.79
Site moments in Bohr magnetons follow the coordinates.
Fractional coordinates of all 12 atoms:
Al1 0.476 0.108 0.728  0.00
Co1 0.994 0.164 0.422  2.69
W1 0.709 0.587 0.374  0.06
W2 0.224 0.608 0.035  1.00
O1 0.682 0.873 0.631  0.02
O2 0.710 0.332 0.525  0.02
O3 0.673 0.801 0.158  0.07
O4 0.780 0.362 0.024  0.01
O5 0.254 0.860 0.887  -0.03
O6 0.258 0.308 0.753  0.07
O7 0.290 0.375 0.247  0.03
O8 0.151 0.816 0.395  0.02

Output
**E_tot**: -0.2653 hartree per atom
**ρ**: 7.1 g/cm³
**D(E_F)**: 0.0000 states/eV/atom